Below is crystalline NaZrNbO5 at its relaxed geometry, with properties calculated at the PBE level.

**Raw total energy**: -8.291 eV/atom
**DOS(E_F)**: 0.00 states/eV/cell
**Raw formation energy**: -2.7005 eV/atom
**Space-group type**: C2/c

Cell: 6.0441 6.0441 7.7737 Å, 103.73 103.73 106.51°
Last column: nearest neighbours and their distance in Å.
Element x y z (fractional)
Na 0.1922 0.8078 0.7500  3 O 2.32-2.59
Na 0.8078 0.1922 0.2500  3 O 2.32-2.59
Zr 0.5000 0.5000 0.0000  6 O 2.05-2.18
Zr 0.5000 0.5000 0.5000  6 O 2.05-2.18
Nb 0.1842 0.8158 0.2500  4 O 1.87-1.88
Nb 0.8158 0.1842 0.7500  4 O 1.87-1.88
O 0.1256 0.2636 0.9194  1 Nb 1.87
O 0.1876 0.5924 0.3822  1 Nb 1.88
O 0.2636 0.1256 0.4194  1 Nb 1.87
O 0.4076 0.8124 0.1178  1 Nb 1.88
O 0.4319 0.5681 0.7500  2 Zr 2.05
O 0.5681 0.4319 0.2500  2 Zr 2.05
O 0.5924 0.1876 0.8822  1 Nb 1.88
O 0.7364 0.8744 0.5806  1 Nb 1.87
O 0.8124 0.4076 0.6178  1 Nb 1.88
O 0.8744 0.7364 0.0806  1 Nb 1.87